# 1
CrCu2Os: relaxed, PBEsol.

Computed properties:
VASP energy: -30.05 eV/cell
Formation energy: 0.268 eV/atom

abc: 3.669 3.669 4.414
angles: 114.56 114.56 90.00
Last column: magnetic moment on the atom in μB.
Element x y z (fractional)
Cu (0.500, 0.500, 0.000)  0.03
Cu (0.750, 0.250, 0.500)  0.00
Os (0.000, 0.000, 0.000)  -0.22
Cr (0.250, 0.750, 0.500)  0.92

# 2
CrCu2Os: relaxed, PBEsol.

Computed properties:
VASP energy: -29.85 eV/cell
Formation energy: 0.319 eV/atom

abc: 2.540 2.540 8.413
angles: 90.00 90.00 113.64
Element x y z (fractional)
Cr (0.500, 0.500, 0.248)
Os (0.000, 0.000, 0.492)
Cu (0.000, 0.000, 0.000)
Cu (0.500, 0.500, 0.760)

# 3
CrCu2Os: relaxed, PBEsol.

Computed properties:
VASP energy: -29.88 eV/cell
Formation energy: 0.311 eV/atom

abc: 3.479 3.479 4.678
angles: 111.83 111.83 90.00
Last column: magnetic moment on the atom in μB.
Element x y z (fractional)
Cu (0.250, 0.750, 0.500)  -0.02
Cu (0.750, 0.250, 0.500)  -0.02
Cr (0.000, 0.000, 0.000)  0.84
Os (0.500, 0.500, 0.000)  -0.22

# 4
CrCu2Os: relaxed, PBEsol.

Computed properties:
VASP energy: -30.18 eV/cell
Formation energy: 0.237 eV/atom

abc: 2.691 3.511 5.203
angles: 90.00 90.00 90.00
Last column: magnetic moment on the atom in μB.
Element x y z (fractional)
Os (0.000, 0.000, 0.516)  -0.19
Cu (0.500, 0.500, 0.233)  0.01
Cu (0.000, 0.000, 0.014)  0.03
Cr (0.500, 0.500, 0.737)  1.43